[1]
Material: Y4Te2CS
Method: DFT, PBE
State: relaxed

a b c (Å): 6.9294 3.9537 7.3477
angles (deg): 90.00 108.06 90.00
Fractional positions:
Y (0.2097, 0.0000, 0.1939)
Y (0.2403, 0.5000, 0.8022)
Y (0.7597, 0.5000, 0.1978)
Y (0.7903, 0.0000, 0.8061)
Te (0.0000, 0.0000, 0.5000)
Te (0.5000, 0.5000, 0.5000)
C (0.0000, 0.5000, 0.0000)
S (0.5000, 0.0000, 0.0000)

E_form (uncorrected): -10.5 eV/f.u.
total magnetic moment: 0.0 μB per cell

***

[2]
Material: Y8Te3CS3
Method: DFT, PBE
State: relaxed

a b c (Å): 7.9976 7.9976 8.4083
angles (deg): 118.42 118.42 59.93
Fractional positions:
Y (0.2165, 0.2165, 0.6942)
Y (0.2166, 0.7609, 0.6943)
Y (0.2391, 0.7834, 0.3057)
Y (0.2665, 0.2665, 0.2994)
Y (0.7335, 0.7335, 0.7006)
Y (0.7609, 0.2166, 0.6943)
Y (0.7834, 0.2391, 0.3057)
Y (0.7835, 0.7835, 0.3058)
Te (0.0000, 0.0000, 0.0000)
Te (0.0000, 0.5000, 0.0000)
Te (0.5000, 0.0000, 0.0000)
C (0.0000, 0.0000, 0.5000)
S (0.0000, 0.5000, 0.5000)
S (0.5000, 0.0000, 0.5000)
S (0.5000, 0.5000, 0.5000)

E_form (uncorrected): -20.9 eV/f.u.
total magnetic moment: 0.0 μB per cell

***

[3]
Material: Y8Te4CS3
Method: DFT, PBE
State: relaxed

a b c (Å): 8.3978 8.3978 8.3978
angles (deg): 57.41 57.41 57.41
Fractional positions:
Y (0.2353, 0.2353, 0.2353)
Y (0.2587, 0.7192, 0.7192)
Y (0.2808, 0.2808, 0.7413)
Y (0.2808, 0.7413, 0.2808)
Y (0.7192, 0.2587, 0.7192)
Y (0.7192, 0.7192, 0.2587)
Y (0.7413, 0.2808, 0.2808)
Y (0.7647, 0.7647, 0.7647)
Te (0.0000, 0.0000, 0.0000)
Te (0.0000, 0.5000, 0.5000)
Te (0.5000, 0.0000, 0.5000)
Te (0.5000, 0.5000, 0.0000)
C (0.5000, 0.5000, 0.5000)
S (0.0000, 0.0000, 0.5000)
S (0.0000, 0.5000, 0.0000)
S (0.5000, 0.0000, 0.0000)

E_form (uncorrected): -24.1 eV/f.u.
total magnetic moment: 0.0 μB per cell

***

[4]
Material: Th2C2S
Method: DFT, PBE
State: relaxed

a b c (Å): 7.2235 7.2235 6.7138
angles (deg): 101.30 101.30 33.73
Fractional positions:
Th (0.0636, 0.6546, 0.8544)
Th (0.3454, 0.9364, 0.6456)
Th (0.6546, 0.0636, 0.3544)
Th (0.9364, 0.3454, 0.1456)
C (0.1470, 0.4132, 0.4711)
C (0.4132, 0.1470, 0.9711)
C (0.5868, 0.8530, 0.0289)
C (0.8530, 0.5868, 0.5289)
S (0.2929, 0.7071, 0.2500)
S (0.7071, 0.2929, 0.7500)

E_form (uncorrected): -4.9 eV/f.u.
energy above the most stable polymorph in this dataset: 0.0 meV per atom
total magnetic moment: 0.0 μB per cell

***

[5]
Material: Th3C2S
Method: DFT, PBE
State: relaxed

a b c (Å): 6.7420 6.7420 10.1727
angles (deg): 90.00 90.00 145.92
Fractional positions:
Th (0.0741, 0.9259, 0.7500)
Th (0.3735, 0.6265, 0.5654)
Th (0.3735, 0.6265, 0.9346)
Th (0.6265, 0.3735, 0.0654)
Th (0.6265, 0.3735, 0.4346)
Th (0.9259, 0.0741, 0.2500)
C (0.0000, 0.0000, 0.0000)
C (0.0000, 0.0000, 0.5000)
C (0.4735, 0.5265, 0.7500)
C (0.5265, 0.4735, 0.2500)
S (0.2488, 0.7512, 0.2500)
S (0.7512, 0.2488, 0.7500)

E_form (uncorrected): -4.0 eV/f.u.
energy above the most stable polymorph in this dataset: 177.2 meV per atom
total magnetic moment: 1.2 μB per cell

***

[6]
Material: Th8C6S
Method: DFT, PBE
State: relaxed

a b c (Å): 9.7784 9.7784 3.8234
angles (deg): 90.00 90.00 120.00
Fractional positions:
Th (0.0353, 0.6829, 0.2550)
Th (0.3171, 0.3524, 0.2550)
Th (0.3333, 0.6667, 0.7503)
Th (0.3524, 0.0353, 0.7450)
Th (0.6476, 0.9647, 0.2550)
Th (0.6667, 0.3333, 0.2497)
Th (0.6829, 0.6476, 0.7450)
Th (0.9647, 0.3171, 0.7450)
C (0.1341, 0.4793, 0.2476)
C (0.3452, 0.8659, 0.2476)
C (0.4793, 0.3452, 0.7524)
C (0.5207, 0.6548, 0.2476)
C (0.6548, 0.1341, 0.7524)
C (0.8659, 0.5207, 0.7524)
S (0.0000, 0.0000, 0.5000)

E_form (uncorrected): -5.3 eV/f.u.
total magnetic moment: 0.0 μB per cell